1.
Compound: LiTl2Ir
Source: the Alexandria database
Functional: PBEsol
Structure: relaxed

Cell lengths 6.215, 8.564, 3.124 Å; angles 90.00, 113.81, 90.00 degrees
Space group C2/m (No. 12)
Unique sites:
Li1 0.000 0.000 0.000 (multiplicity 2)
Tl1 0.250 0.250 0.500 (multiplicity 4)
Ir1 0.000 0.500 0.000 (multiplicity 2)

Properties
Formation energy ... 235.8 meV/atom
M_tot ... 0.00 μB/cell

2.
Compound: CaInTc2Pb
Source: the Alexandria database
Functional: PBEsol
Structure: relaxed

Cell lengths 5.081, 5.081, 5.398 Å; angles 90.00, 90.00, 90.00 degrees
Space group P4/mmm (No. 123)
Unique sites:
Ca1 0.000 0.000 0.000 (multiplicity 1)
In1 0.500 0.500 0.000 (multiplicity 1)
Tc1 0.000 0.500 0.500 (multiplicity 2)
Pb1 0.500 0.500 0.500 (multiplicity 1)

Properties
Formation energy ... 1556.7 meV/atom
M_tot ... 3.41 μB/cell

3.
Compound: TeRhSe
Source: the Alexandria database
Functional: PBEsol
Structure: relaxed

Cell lengths 3.7690, 3.7690, 5.0832 Å; angles 90.00, 90.00, 120.00 degrees
Space group P3m1 (No. 156)
Unique sites:
Te1 0.0000 0.0000 0.0000 (multiplicity 1)
Rh1 0.3333 0.6667 0.7177 (multiplicity 1)
Se1 0.6667 0.3333 0.4746 (multiplicity 1)

Properties
Formation energy (no corrections) ... -0.396 eV per atom
M_tot ... 0.00 μB/cell
Relative energy among the computed polymorphs ... 0 meV per atom

4.
Compound: Sr2CoBr
Source: the Alexandria database
Functional: PBEsol
Structure: relaxed

Cell lengths 4.286, 4.286, 12.370 Å; angles 90.00, 90.00, 90.00 degrees
Space group I-4m2 (No. 119)
Unique sites:
Sr1 0.000 0.000 0.000 (multiplicity 2)
Sr2 0.000 0.500 0.250 (multiplicity 2)
Co1 0.000 0.500 0.750 (multiplicity 2)
Br1 0.000 0.000 0.500 (multiplicity 2)

Properties
Formation energy (no corrections) ... -0.066 eV per atom
M_tot ... 1.65 μB/cell
Relative energy among the computed polymorphs ... 223 meV per atom

5.
Compound: Zr3AuF
Source: the Alexandria database
Functional: PBEsol
Structure: relaxed

Cell lengths 4.435, 4.435, 4.435 Å; angles 90.00, 90.00, 90.00 degrees
Space group Pm-3m (No. 221)
Unique sites:
Zr1 0.000 0.000 0.500 (multiplicity 3)
Au1 0.500 0.500 0.500 (multiplicity 1)
F1 0.000 0.000 0.000 (multiplicity 1)

Properties
Formation energy (no corrections) ... -0.742 eV per atom
M_tot ... 0.00 μB/cell
Relative energy among the computed polymorphs ... 0 meV per atom

6.
Compound: Zn2CrPt
Source: the Alexandria database
Functional: PBEsol
Structure: relaxed

Cell lengths 3.935, 3.935, 7.148 Å; angles 90.00, 90.00, 90.00 degrees
Space group I4/mmm (No. 139)
Unique sites:
Zn1 0.000 0.500 0.250 (multiplicity 4)
Cr1 0.000 0.000 0.000 (multiplicity 2)
Pt1 0.000 0.000 0.500 (multiplicity 2)

Properties
Formation energy ... -203.7 meV/atom
M_tot ... 7.38 μB/cell

7.
Compound: B2Ir2Au
Source: the Alexandria database
Functional: PBEsol
Structure: relaxed

Cell lengths 2.904, 2.904, 14.165 Å; angles 90.00, 90.00, 90.00 degrees
Space group I4/mmm (No. 139)
Unique sites:
B1 0.000 0.500 0.250 (multiplicity 4)
Ir1 0.000 0.000 0.141 (multiplicity 4)
Au1 0.000 0.000 0.500 (multiplicity 2)

Properties
Formation energy ... -153.2 meV/atom
M_tot ... 0.00 μB/cell
Relative energy among the computed polymorphs ... 0 meV per atom

8.
Compound: GeHSe2
Source: the Alexandria database
Functional: PBEsol
Structure: relaxed

Cell lengths 3.8371, 3.8371, 19.2291 Å; angles 90.00, 90.00, 120.00 degrees
Space group R-3m (No. 166, hexagonal axes)
Unique sites:
Ge1 0.0000 0.0000 0.0000 (multiplicity 3)
H1 0.0000 0.0000 0.5000 (multiplicity 3)
Se1 0.0000 0.0000 0.4093 (multiplicity 6)

Properties
M_tot ... 0.00 μB/cell
Relative energy among the computed polymorphs ... 0 meV per atom

9.
Compound: LuCu5
Source: the Alexandria database
Functional: PBEsol
Structure: relaxed

Cell lengths 6.850, 6.850, 6.850 Å; angles 90.00, 90.00, 90.00 degrees
Space group F-43m (No. 216)
Unique sites:
Lu1 0.000 0.000 0.000 (multiplicity 4)
Cu1 0.124 0.124 0.376 (multiplicity 16)
Cu2 0.250 0.250 0.750 (multiplicity 4)

Properties
Formation energy ... -206.1 meV/atom
M_tot ... 0.00 μB/cell

10.
Compound: KLi4Os
Source: the Alexandria database
Functional: PBEsol
Structure: relaxed

Cell lengths 7.499, 7.499, 7.499 Å; angles 90.00, 90.00, 90.00 degrees
Space group F-43m (No. 216)
Unique sites:
K1 0.000 0.000 0.000 (multiplicity 4)
Li1 0.120 0.120 0.380 (multiplicity 16)
Os1 0.250 0.250 0.750 (multiplicity 4)

Properties
Formation energy ... 757.9 meV/atom
M_tot ... 2.08 μB/cell

11.
Compound: NaRhAu3
Source: the Alexandria database
Functional: PBEsol
Structure: relaxed

Cell lengths 4.964, 4.964, 4.964 Å; angles 90.00, 90.00, 90.00 degrees
Space group Pm-3m (No. 221)
Unique sites:
Na1 0.000 0.000 0.000 (multiplicity 1)
Rh1 0.500 0.500 0.500 (multiplicity 1)
Au1 0.000 0.500 0.500 (multiplicity 3)

Properties
Formation energy ... 595.1 meV/atom
M_tot ... 0.03 μB/cell

12.
Compound: KBaTa2
Source: the Alexandria database
Functional: PBEsol
Structure: relaxed

Cell lengths 9.059, 3.160, 9.471 Å; angles 90.00, 92.37, 90.00 degrees
Space group Cm (No. 8)
Unique sites:
K1 0.000 0.000 0.000 (multiplicity 2)
Ba1 0.235 0.000 0.595 (multiplicity 2)
Ta1 0.254 0.500 0.276 (multiplicity 2)
Ta2 0.485 0.000 0.348 (multiplicity 2)

Properties
Formation energy ... 985.4 meV/atom
M_tot ... 0.00 μB/cell
Relative energy among the computed polymorphs ... 49 meV per atom

13.
Compound: CrMoSe2
Source: the Alexandria database
Functional: PBEsol
Structure: relaxed

Cell lengths 8.135, 3.118, 5.092 Å; angles 90.00, 104.78, 90.00 degrees
Space group Cm (No. 8)
Unique sites:
Cr1 0.000 0.000 0.000 (multiplicity 2)
Mo1 0.229 0.000 0.585 (multiplicity 2)
Se1 0.211 0.500 0.956 (multiplicity 2)
Se2 0.484 0.000 0.373 (multiplicity 2)

Properties
Formation energy (no corrections) ... -0.053 eV per atom
M_tot ... 0.00 μB/cell
Relative energy among the computed polymorphs ... 28 meV per atom

14.
Compound: KGe2MoPt
Source: the Alexandria database
Functional: PBEsol
Structure: relaxed

Cell lengths 4.876, 4.876, 4.934 Å; angles 90.00, 90.00, 90.00 degrees
Space group P4/mmm (No. 123)
Unique sites:
K1 0.000 0.000 0.000 (multiplicity 1)
Ge1 0.000 0.500 0.500 (multiplicity 2)
Mo1 0.500 0.500 0.500 (multiplicity 1)
Pt1 0.500 0.500 0.000 (multiplicity 1)

Properties
Formation energy ... 316.3 meV/atom
M_tot ... 0.00 μB/cell

15.
Compound: BeNbH
Source: the Alexandria database
Functional: PBEsol
Structure: relaxed

Cell lengths 3.428, 9.285, 3.463 Å; angles 90.00, 90.00, 90.00 degrees
Space group Cmcm (No. 63)
Unique sites:
Be1 0.000 0.063 0.250 (multiplicity 4)
Nb1 0.000 0.355 0.250 (multiplicity 4)
H1 0.000 0.253 0.750 (multiplicity 4)

Properties
Total energy ... -19.21 eV per formula unit
M_tot ... 0.00 μB/cell

16.
Compound: BaLaSe2
Source: the Alexandria database
Functional: PBEsol
Structure: relaxed

Cell lengths 4.3920, 4.3920, 22.0445 Å; angles 90.00, 90.00, 120.00 degrees
Space group R-3m (No. 166, hexagonal axes)
Unique sites:
Ba1 0.0000 0.0000 0.0000 (multiplicity 3)
La1 0.0000 0.0000 0.5000 (multiplicity 3)
Se1 0.0000 0.0000 0.2420 (multiplicity 6)

Properties
Formation energy (no corrections) ... -2.005 eV per atom
M_tot ... 0.00 μB/cell
Relative energy among the computed polymorphs ... 0 meV per atom

17.
Compound: MgAgRu2
Source: the Alexandria database
Functional: PBEsol
Structure: relaxed

Cell lengths 2.817, 2.817, 7.637 Å; angles 90.00, 90.00, 90.00 degrees
Space group P4mm (No. 99)
Unique sites:
Mg1 0.000 0.000 0.000 (multiplicity 1)
Ag1 0.500 0.500 0.728 (multiplicity 1)
Ru1 0.000 0.000 0.460 (multiplicity 1)
Ru2 0.500 0.500 0.255 (multiplicity 1)

Properties
Formation energy ... 89.1 meV/atom
M_tot ... 0.00 μB/cell

18.
Compound: MnIr2W
Source: the Alexandria database
Functional: PBEsol
Structure: relaxed

Cell lengths 3.801, 3.801, 3.780 Å; angles 90.00, 90.00, 90.00 degrees
Space group P4/mmm (No. 123)
Unique sites:
Mn1 0.000 0.000 0.000 (multiplicity 1)
Ir1 0.000 0.500 0.500 (multiplicity 2)
W1 0.500 0.500 0.000 (multiplicity 1)

Properties
Formation energy ... -256.9 meV/atom
M_tot ... 1.12 μB/cell
Relative energy among the computed polymorphs ... 0 meV per atom

19.
Compound: RbIn3Ru
Source: the Alexandria database
Functional: PBEsol
Structure: relaxed

Cell lengths 5.179, 5.179, 5.179 Å; angles 90.00, 90.00, 90.00 degrees
Space group Pm-3m (No. 221)
Unique sites:
Rb1 0.000 0.000 0.000 (multiplicity 1)
In1 0.000 0.500 0.500 (multiplicity 3)
Ru1 0.500 0.500 0.500 (multiplicity 1)

Properties
Formation energy ... -92.0 meV/atom
M_tot ... 0.00 μB/cell

20.
Compound: ZrAsRu
Source: the Alexandria database
Functional: PBEsol
Structure: relaxed

Cell lengths 6.5540, 6.5540, 3.8869 Å; angles 90.00, 90.00, 120.00 degrees
Space group P-62m (No. 189)
Unique sites:
Zr1 0.0000 0.5823 0.0000 (multiplicity 3)
As1 0.0000 0.0000 0.0000 (multiplicity 1)
As2 0.3333 0.6667 0.5000 (multiplicity 2)
Ru1 0.0000 0.2432 0.5000 (multiplicity 3)

Properties
Formation energy ... -907.1 meV/atom
M_tot ... 0.00 μB/cell